Entry 1:
## Cs3V2O2F7 (PBE with a Hubbard U)

Data for Cs3V2O2F7 after structural relaxation.

Cell: 6.4425 11.1411 15.3824 Å, 90.00 90.61 90.00°
Space group C2/c (No. 15)
Inequivalent atoms, fractional coordinates:
1 Cs 0.0000 0.1668 0.2500 x4
2 Cs 0.0028 0.1657 0.5631 x8
3 V 0.0206 0.4964 0.6515 x8
4 O 0.2076 0.4293 0.5969 x8
5 F 0.0000 0.3714 0.7500 x4
6 F 0.0117 0.3506 0.4034 x8
7 F 0.1953 0.4293 0.2459 x8
8 F 0.2299 0.4346 0.9000 x8



Entry 2:
## CsWO2F (PBE with a Hubbard U)

Data for CsWO2F after structural relaxation.

Cell: 4.5764 4.5764 5.0340 Å, 90.00 90.00 90.00°
Space group P4/mmm (No. 123)
Inequivalent atoms, fractional coordinates:
1 Cs 0.0000 0.0000 0.0000 x1
2 W 0.5000 0.5000 0.5000 x1
3 O 0.0000 0.5000 0.0000 x2
4 F 0.0000 0.0000 0.5000 x1



Entry 3:
## Cs5WO4F2 (PBE with a Hubbard U)

Data for Cs5WO4F2 after structural relaxation.

Cell: 8.5578 11.2911 7.0212 Å, 90.00 90.00 90.00°
Space group Amm2 (No. 38)
Inequivalent atoms, fractional coordinates:
1 Cs 0.0000 0.0000 0.9997 x2
2 Cs 0.2606 0.1808 0.5000 x8
3 W 0.5000 0.0000 0.0270 x2
4 O 0.3099 0.0000 0.1663 x4
5 O 0.5000 0.1455 0.8912 x4
6 F 0.0000 0.2166 0.7663 x4



Entry 4:
## CsWO2F (PBE with a Hubbard U)

Data for CsWO2F after structural relaxation.

Cell: 4.1446 4.1446 4.5518 Å, 90.00 90.00 90.00°
Space group P4/mmm (No. 123)
Inequivalent atoms, fractional coordinates:
1 Cs 0.0000 0.0000 0.0000 x1
2 W 0.5000 0.5000 0.5000 x1
3 O 0.0000 0.5000 0.5000 x2
4 F 0.5000 0.5000 0.0000 x1



Per-record uncorrected energy, eV per cell: -312.49, -16.51, -119.15, -29.75
Per-record size of the total moment, μB/f.u.: 2.00, 3.99, 1.00, 2.00